# 1
The following is a PBE calculation of an optimized crystal structure of ZrCoB4, from OQMD.

The space group is P6/mmm (No. 191) and the conventional cell measures 3.1435, 3.1435 and 6.0977 Å, with angles of 90.00, 90.00 and 120.00 degrees. The asymmetric unit holds Zr at (0.0000, 0.0000, 0.0000), Co at (0.0000, 0.0000, 0.5000) and B at (0.3333, 0.6667, 0.2861).

The energy above the lowest structure with this stoichiometry is 0.808 eV per formula unit.

***

# 2
The following is a PBE calculation of an optimized crystal structure of Cs3KAu, from OQMD.

The space group is P1 (No. 1) and the conventional cell measures 7.3052, 8.9379 and 13.6328 Å, with angles of 89.43, 74.59 and 65.89 degrees. The asymmetric unit holds Cs at (0.0000, 0.0000, 0.0000), Cs at (0.1081, 0.1380, 0.6442), Cs at (0.2378, 0.2676, 0.2536), Cs at (0.4869, 0.5106, 0.5136), Cs at (0.7514, 0.7449, 0.7533), Cs at (0.8765, 0.8664, 0.3764), K at (0.3533, 0.4086, 0.8866), K at (0.6296, 0.6195, 0.1187), Au at (0.2452, 0.7489, 0.7620) and Au at (0.9988, 0.4986, 0.5017).

The total energy comes out at -1.52 eV per atom.

***

# 3
The following is a PBE calculation of an optimized crystal structure of PrAl, from OQMD.

The space group is Cmcm (No. 63) and the conventional cell measures 9.3485, 7.6862 and 5.7605 Å, with angles of 90.00, 90.00 and 90.00 degrees. The asymmetric unit holds Pr at (0.1796, 0.1597, 0.2500), Al at (0.0000, 0.1982, 0.7500) and Al at (0.0000, 0.5000, 0.0000).

The total energy comes out at -4.65 eV per atom.

***

# 4
The following is a PBE calculation of an optimized crystal structure of Rb2Gd4Cu4Se9, from OQMD.

The space group is C2/m (No. 12) and the conventional cell measures 14.5432, 4.1478 and 16.7241 Å, with angles of 90.00, 109.02 and 90.00 degrees. The asymmetric unit holds Rb at (0.0305, 0.0000, 0.2708), Gd at (0.1546, 0.5000, 0.5557), Gd at (0.2305, 0.0000, 0.1024), Cu at (0.0749, 0.5000, 0.9699), Cu at (0.2445, 0.0000, 0.7298), Se at (0.0000, 0.0000, 0.5000), Se at (0.1054, 0.5000, 0.1270), Se at (0.1363, 0.0000, 0.9231), Se at (0.1521, 0.5000, 0.7242) and Se at (0.2012, 0.5000, 0.3974).

The total energy comes out at -4.81 eV per atom.

***

# 5
The following is a PBE calculation of an optimized crystal structure of Y2TmFe2Co7, from OQMD.

The space group is R-3m (No. 166, hexagonal axes) and the conventional cell measures 5.0361, 5.0361 and 23.7118 Å, with angles of 90.00, 90.00 and 120.00 degrees. The asymmetric unit holds Y at (0.0000, 0.0000, 0.1401), Tm at (0.0000, 0.0000, 0.0000), Fe at (0.0000, 0.0000, 0.3338), Co at (0.0000, 0.0000, 0.5000) and Co at (0.0015, 0.5007, 0.9187).

The formation enthalpy at 0 K is -0.1765 eV per atom.

***

# 6
The following is a PBE calculation of an optimized crystal structure of PaFeCo, from OQMD.

The space group is F-43m (No. 216) and the conventional cell measures 5.8740, 5.8740 and 5.8740 Å, with angles of 90.00, 90.00 and 90.00 degrees. The asymmetric unit holds Pa at (0.0000, 0.0000, 0.0000), Fe at (0.2500, 0.2500, 0.2500) and Co at (0.2500, 0.2500, 0.7500).

The energy above the lowest structure with this stoichiometry is 0.746 eV per formula unit. The formation enthalpy at 0 K is 0.3447 eV per atom.

***

# 7
The following is a PBE calculation of an optimized crystal structure of AgPdCl3, from OQMD.

The space group is P4mm (No. 99) and the conventional cell measures 4.9754, 4.9754 and 4.9115 Å, with angles of 90.00, 90.00 and 90.00 degrees. The asymmetric unit holds Ag at (0.0000, 0.0000, 0.0000), Pd at (0.5000, 0.5000, 0.7353), Cl at (0.0000, 0.5000, 0.7631) and Cl at (0.5000, 0.5000, 0.2385).

The energy above the lowest structure with this stoichiometry is 0.396 eV per formula unit.

***

# 8
The following is a PBE calculation of an optimized crystal structure of ZrZnSb2, from OQMD.

The space group is F-43m (No. 216) and the conventional cell measures 7.1836, 7.1836 and 7.1836 Å, with angles of 90.00, 90.00 and 90.00 degrees. The asymmetric unit holds Zr at (0.0000, 0.0000, 0.0000), Zn at (0.2500, 0.2500, 0.7500), Sb at (0.0000, 0.0000, 0.5000) and Sb at (0.2500, 0.2500, 0.2500).

The total energy comes out at -4.37 eV per atom.

***

# 9
The following is a PBE calculation of an optimized crystal structure of Cu3Ag, from OQMD.

The space group is I4/mmm (No. 139) and the conventional cell measures 3.7662, 3.7662 and 15.0597 Å, with angles of 90.00, 90.00 and 90.00 degrees. The asymmetric unit holds Cu at (0.0000, 0.0000, 0.1250), Cu at (0.0000, 0.5000, 0.0000), Cu at (0.0000, 0.5000, 0.2500) and Ag at (0.0000, 0.0000, 0.3750).

The formation enthalpy at 0 K is 0.0837 eV per atom.

***

# 10
The following is a PBE calculation of an optimized crystal structure of MoWSe4, from OQMD.

The space group is Cmm2 (No. 35) and the conventional cell measures 3.3200, 13.6543 and 5.7368 Å, with angles of 90.00, 90.00 and 90.00 degrees. The asymmetric unit holds Mo at (0.0000, 0.0000, 0.0000), W at (0.0000, 0.5000, 0.4977), Se at (0.0000, 0.1230, 0.6655) and Se at (0.0000, 0.3766, 0.1654).

The energy above the lowest structure with this stoichiometry is 0.034 eV per formula unit.

***

# 11
The following is a PBE calculation of an optimized crystal structure of SrPrIn4, from OQMD.

The space group is Pmma (No. 51) and the conventional cell measures 9.4807, 4.6610 and 8.2347 Å, with angles of 90.00, 90.00 and 90.00 degrees. The asymmetric unit holds Sr at (0.2500, 0.0000, 0.1859), Pr at (0.2500, 0.0000, 0.7628), In at (0.0000, 0.0000, 0.5000), In at (0.0134, 0.5000, 0.7995) and In at (0.2500, 0.5000, 0.4807).

The total energy comes out at -3.13 eV per atom.

***

# 12
The following is a PBE calculation of an optimized crystal structure of Ni3Sn, from OQMD.

The space group is Pm-3m (No. 221) and the conventional cell measures 3.7174, 3.7174 and 3.7174 Å, with angles of 90.00, 90.00 and 90.00 degrees. The asymmetric unit holds Ni at (0.0000, 0.0000, 0.5000) and Sn at (0.5000, 0.5000, 0.5000).

The total energy comes out at -5.38 eV per atom.

***

# 13
The following is a PBE calculation of an optimized crystal structure of Zr2BeAs, from OQMD.

The space group is P2_1/m (No. 11) and the conventional cell measures 5.2991, 3.6482 and 7.5449 Å, with angles of 90.00, 110.13 and 90.00 degrees. The asymmetric unit holds Zr at (0.2140, 0.2500, 0.4224), Zr at (0.2710, 0.7500, 0.0698), Be at (0.1344, 0.2500, 0.7867) and As at (0.3537, 0.7500, 0.7163).

The energy above the lowest structure with this stoichiometry is 0.000 eV per formula unit.

***

# 14
The following is a PBE calculation of an optimized crystal structure of NaTmHg, from OQMD.

The space group is F-43m (No. 216) and the conventional cell measures 7.1278, 7.1278 and 7.1278 Å, with angles of 90.00, 90.00 and 90.00 degrees. The asymmetric unit holds Na at (0.0000, 0.0000, 0.0000), Tm at (0.2500, 0.2500, 0.7500) and Hg at (0.0000, 0.0000, 0.5000).

The energy above the lowest structure with this stoichiometry is 0.000 eV per formula unit.

***

# 15
The following is a PBE calculation of an optimized crystal structure of DyY2Er2Lu2Ni2S2, from OQMD.

The space group is Imm2 (No. 44) and the conventional cell measures 3.7563, 14.7004 and 9.0791 Å, with angles of 90.00, 90.00 and 90.00 degrees. The asymmetric unit holds Dy at (0.0000, 0.0000, 0.0000), Y at (0.0000, 0.3638, 0.2469), Er at (0.0000, 0.1205, 0.4041), Lu at (0.0000, 0.3167, 0.6117), Ni at (0.0000, 0.2413, 0.9196), S at (0.0000, 0.0000, 0.6543) and S at (0.0000, 0.5000, 0.7488).

The total energy comes out at -5.88 eV per atom.

***

# 16
The following is a PBE calculation of an optimized crystal structure of NdCuPbS3, from OQMD.

The space group is C2/m (No. 12) and the conventional cell measures 18.2341, 4.0076 and 8.0125 Å, with angles of 90.00, 104.35 and 90.00 degrees. The asymmetric unit holds Nd at (0.1612, 0.0000, 0.0831), Cu at (0.0374, 0.5000, 0.2023), Pb at (0.1205, 0.0000, 0.5654), S at (0.0000, 0.0000, 0.0000), S at (0.0000, 0.5000, 0.5000), S at (0.1661, 0.5000, 0.3279) and S at (0.1768, 0.5000, 0.8481).

The total energy comes out at -5.10 eV per atom.

***

# 17
The following is a PBE calculation of an optimized crystal structure of Zn2Co3Cu3, from OQMD.

The space group is Amm2 (No. 38) and the conventional cell measures 4.1544, 5.0360 and 9.0356 Å, with angles of 90.00, 90.00 and 90.00 degrees. The asymmetric unit holds Zn at (0.0000, 0.0000, 0.0000), Zn at (0.5000, 0.0000, 0.3321), Co at (0.0000, 0.2447, 0.7524), Co at (0.5000, 0.0000, 0.8260), Cu at (0.0000, 0.0000, 0.5016) and Cu at (0.5000, 0.2497, 0.0841).

The energy above the lowest structure with this stoichiometry is 0.000 eV per formula unit. The formation enthalpy at 0 K is 0.0415 eV per atom.

***

# 18
The following is a PBE calculation of an optimized crystal structure of BeCdGaAu, from OQMD.

The space group is F-43m (No. 216) and the conventional cell measures 6.4930, 6.4930 and 6.4930 Å, with angles of 90.00, 90.00 and 90.00 degrees. The asymmetric unit holds Be at (0.0000, 0.0000, 0.0000), Cd at (0.0000, 0.0000, 0.5000), Ga at (0.2500, 0.2500, 0.7500) and Au at (0.2500, 0.2500, 0.2500).

The energy above the lowest structure with this stoichiometry is 0.030 eV per formula unit.

***

# 19
The following is a PBE calculation of an optimized crystal structure of Li4DyOsO6, from OQMD.

The space group is C2 (No. 5) and the conventional cell measures 5.3280, 9.2714 and 5.2164 Å, with angles of 90.00, 109.45 and 90.00 degrees. The asymmetric unit holds Li at (0.0000, 0.0000, 0.0000), Li at (0.0000, 0.1490, 0.5000), Li at (0.0000, 0.3156, 0.0000), Li at (0.0000, 0.6262, 0.0000), Dy at (0.0000, 0.8145, 0.5000), Os at (0.0000, 0.4823, 0.5000), O at (0.2231, 0.3305, 0.7419), O at (0.2298, 0.4871, 0.2655) and O at (0.2361, 0.6333, 0.7425).

The total energy comes out at -6.45 eV per atom.

***

# 20
The following is a PBE calculation of an optimized crystal structure of GdHoCu4, from OQMD.

The space group is P4/mmm (No. 123) and the conventional cell measures 3.4937, 3.4937 and 8.7598 Å, with angles of 90.00, 90.00 and 90.00 degrees. The asymmetric unit holds Gd at (0.0000, 0.0000, 0.0000), Ho at (0.5000, 0.5000, 0.5000), Cu at (0.0000, 0.0000, 0.3263) and Cu at (0.5000, 0.5000, 0.1806).

The formation enthalpy at 0 K is -0.1712 eV per atom.